NaLa2ScTe4 | PBE | relaxed

The structure belongs to space group P2/m (No. 10); the cell edges are 7.622, 4.461 and 7.809 Å and the angles 90.00°, 109.42° and 90.00°. The inequivalent atoms are Na at (0.000, 0.000, 0.000), La at (0.500, 0.000, 0.500), La at (0.500, 0.500, 0.000), Sc at (0.000, 0.500, 0.500), Te at (0.226, 0.000, 0.736) and Te at (0.233, 0.500, 0.253).

As for the energy: -5.12 eV per atom. As for the uncorrected formation energy: -1.36 eV per atom. For the total magnetic moment, the calculation gives 0.00 μB/f.u. The density of states at the Fermi level is 3.64 states/eV/cell.